First-principles (GGA-PBE) data for a geometry-optimized Ho2ErCdRh4 structure, as listed in Alexandria via LeMat-Bulk.

Geometry as CIF:
```
data_Ho2ErCdRh4
_chemical_formula_sum 'Ho6 Er3 Cd3 Rh12'
_cell_length_a 4.7492
_cell_length_b 4.7492
_cell_length_c 23.1592
_cell_angle_alpha 90.00
_cell_angle_beta 90.00
_cell_angle_gamma 120.00
_space_group_name_H-M_alt 'R -3 m'
_space_group_IT_number 166
_space_group_name_Hall '-R 3 2"'
loop_
_atom_site_label
_atom_site_fract_x
_atom_site_fract_y
_atom_site_fract_z
Ho1 0.0000 0.0000 0.2441
Er1 0.0000 0.0000 0.0000
Cd1 0.0000 0.0000 0.5000
Rh1 0.0000 0.0000 0.1220
Rh2 0.0000 0.0000 0.3743
```

Uncorrected energy ... -6.291 eV per atom
E_form ... -786 meV per atom
DOS(E_F) ... 9.01 states/eV per cell

***

First-principles (GGA-PBE) data for a geometry-optimized Na8Br3Cl4 structure, as listed in Alexandria via LeMat-Bulk.

Geometry as CIF:
```
data_Na8Br3Cl4
_chemical_formula_sum 'Na16 Br6 Cl8'
_cell_length_a 11.691
_cell_length_b 11.707
_cell_length_c 8.258
_cell_angle_alpha 90.00
_cell_angle_beta 134.83
_cell_angle_gamma 90.00
_space_group_name_H-M_alt 'C 1 2/m 1'
_space_group_IT_number 12
loop_
_space_group_symop_operation_xyz
'x,y,z'
'-x,-y,-z'
'-x,y,-z'
'x,-y,z'
'x+1/2,y+1/2,z'
'-x+1/2,-y+1/2,-z'
'-x+1/2,y+1/2,-z'
'x+1/2,-y+1/2,z'
loop_
_atom_site_label
_atom_site_fract_x
_atom_site_fract_y
_atom_site_fract_z
Na1 0.000 0.246 0.000
Na2 0.000 0.247 0.500
Na3 0.242 0.000 0.491
Na4 0.243 0.000 0.995
Br1 0.000 0.500 0.000
Br2 0.250 0.250 0.500
Cl1 0.000 0.000 0.000
Cl2 0.000 0.000 0.500
Cl3 0.250 0.250 0.000
```

Uncorrected energy ... -3.059 eV per atom
Uncorrected formation energy ... -1.528 eV per atom
DOS(E_F) ... 4.50 states/eV per cell

***

First-principles (GGA-PBE) data for a geometry-optimized Cd5Hg4Sb structure, as listed in Alexandria via LeMat-Bulk.

Geometry as CIF:
```
data_Cd5Hg4Sb
_chemical_formula_sum 'Cd10 Hg8 Sb2'
_cell_length_a 12.543
_cell_length_b 5.076
_cell_length_c 8.482
_cell_angle_alpha 90.00
_cell_angle_beta 105.16
_cell_angle_gamma 90.00
_space_group_name_H-M_alt 'C 1 2/m 1'
_space_group_IT_number 12
loop_
_space_group_symop_operation_xyz
'x,y,z'
'-x,-y,-z'
'-x,y,-z'
'x,-y,z'
'x+1/2,y+1/2,z'
'-x+1/2,-y+1/2,-z'
'-x+1/2,y+1/2,-z'
'x+1/2,-y+1/2,z'
loop_
_atom_site_label
_atom_site_fract_x
_atom_site_fract_y
_atom_site_fract_z
Cd1 0.000 0.000 0.000
Cd2 0.092 0.500 0.376
Cd3 0.195 0.000 0.788
Hg1 0.110 0.500 0.919
Hg2 0.207 0.000 0.312
Sb1 0.000 0.000 0.500
```

Uncorrected energy ... -0.952 eV per atom
Uncorrected formation energy ... 0.039 eV per atom
DOS(E_F) ... 6.58 states/eV per cell

***

First-principles (GGA-PBE) data for a geometry-optimized Si2AgAs structure, as listed in Alexandria via LeMat-Bulk.

Geometry as CIF:
```
data_Si2AgAs
_chemical_formula_sum 'Si2 Ag1 As1'
_cell_length_a 2.689
_cell_length_b 3.544
_cell_length_c 7.667
_cell_angle_alpha 90.00
_cell_angle_beta 99.77
_cell_angle_gamma 90.00
_space_group_name_H-M_alt 'P 1 m 1'
_space_group_IT_number 6
loop_
_space_group_symop_operation_xyz
'x,y,z'
'x,-y,z'
loop_
_atom_site_label
_atom_site_fract_x
_atom_site_fract_y
_atom_site_fract_z
Si1 0.000 0.000 0.000
Si2 0.115 0.500 0.236
Ag1 0.387 0.500 0.773
As1 0.234 0.000 0.481
```

Uncorrected energy ... -4.279 eV per atom
Uncorrected formation energy ... 0.308 eV per atom
DOS(E_F) ... 1.87 states/eV per cell